Entry 1:
Entry from the Alexandria database: a relaxed Sc2Mn2N crystal (GGA-PBE).

Properties
As for the uncorrected energy: -0.5683 Ry/atom. The calculation puts the uncorrected formation energy at 0.670 eV per formula unit. Its total magnetic moment is 3.3 μB/f.u.

a b c (Å): 5.353 5.353 4.829
angles (deg): 90.00 90.00 90.00
Positions (direct):
Sc  0.168  0.332  0.000
Sc  0.332  0.832  0.000
Sc  0.668  0.168  0.000
Sc  0.832  0.668  0.000
Mn  0.175  0.675  0.500
Mn  0.325  0.175  0.500
Mn  0.675  0.825  0.500
Mn  0.825  0.325  0.500
N  0.000  0.000  0.500
N  0.500  0.500  0.500

***

Entry 2:
Entry from the Alexandria database: a relaxed ScMn3N crystal (GGA-PBE).

Properties
As for the uncorrected energy: -0.3962 Ry/atom. The calculation puts the uncorrected formation energy at 15.215 eV per formula unit. Its total magnetic moment is 0.9 μB/f.u. The calculation puts the polymorph energy (0 for the lowest one) at 3.317 eV per atom.

a b c (Å): 4.293 4.293 4.293
angles (deg): 90.00 90.00 90.00
Positions (direct):
Sc  0.000  0.000  0.000
Mn  0.000  0.000  0.500
Mn  0.000  0.500  0.000
Mn  0.500  0.000  0.000
N  0.500  0.500  0.500

***

Entry 3:
Entry from the Alexandria database: a relaxed ScMnN crystal (GGA-PBE).

Properties
As for the uncorrected energy: -0.6544 Ry/atom. The calculation puts the uncorrected formation energy at -2.884 eV per formula unit. Its total magnetic moment is 2.6 μB/f.u.

a b c (Å): 3.185 3.185 3.823
angles (deg): 90.00 90.00 90.00
Positions (direct):
Sc  0.000  0.000  0.000
Mn  0.500  0.500  0.500
N  0.500  0.500  0.000

***

Entry 4:
Entry from the Alexandria database: a relaxed Sc3Mn5N12 crystal (GGA-PBE).

Properties
As for the uncorrected energy: -0.6361 Ry/atom. The calculation puts the uncorrected formation energy at -8.357 eV per formula unit. Its total magnetic moment is 7.0 μB/f.u.

a b c (Å): 10.300 10.300 10.300
angles (deg): 109.47 109.47 109.47
Positions (direct):
Sc  0.125  0.250  0.375
Sc  0.125  0.375  0.750
Sc  0.250  0.375  0.125
Sc  0.250  0.875  0.625
Sc  0.375  0.125  0.250
Sc  0.375  0.750  0.125
Sc  0.625  0.250  0.875
Sc  0.625  0.875  0.750
Sc  0.750  0.125  0.375
Sc  0.750  0.625  0.875
Sc  0.875  0.625  0.250
Sc  0.875  0.750  0.625
Mn  0.000  0.000  0.000
Mn  0.000  0.000  0.500
Mn  0.000  0.500  0.000
Mn  0.000  0.500  0.500
Mn  0.125  0.750  0.875
Mn  0.125  0.875  0.250
Mn  0.250  0.125  0.875
Mn  0.250  0.625  0.375
Mn  0.375  0.250  0.625
Mn  0.375  0.625  0.750
Mn  0.500  0.000  0.000
Mn  0.500  0.000  0.500
Mn  0.500  0.500  0.000
Mn  0.500  0.500  0.500
Mn  0.625  0.375  0.250
Mn  0.625  0.750  0.375
Mn  0.750  0.375  0.625
Mn  0.750  0.875  0.125
Mn  0.875  0.125  0.750
Mn  0.875  0.250  0.125
N  0.021  0.207  0.118
N  0.021  0.314  0.903
N  0.089  0.707  0.686
N  0.089  0.882  0.403
N  0.097  0.618  0.411
N  0.097  0.979  0.686
N  0.118  0.021  0.207
N  0.118  0.597  0.911
N  0.186  0.207  0.589
N  0.186  0.479  0.597
N  0.207  0.118  0.021
N  0.207  0.589  0.186
N  0.293  0.314  0.911
N  0.293  0.479  0.382
N  0.314  0.903  0.021
N  0.314  0.911  0.293
N  0.382  0.293  0.479
N  0.382  0.589  0.903
N  0.403  0.089  0.882
N  0.403  0.814  0.521
N  0.411  0.097  0.618
N  0.411  0.814  0.793
N  0.479  0.382  0.293
N  0.479  0.597  0.186
N  0.521  0.403  0.814
N  0.521  0.618  0.707
N  0.589  0.186  0.207
N  0.589  0.903  0.382
N  0.597  0.186  0.479
N  0.597  0.911  0.118
N  0.618  0.411  0.097
N  0.618  0.707  0.521
N  0.686  0.089  0.707
N  0.686  0.097  0.979
N  0.707  0.521  0.618
N  0.707  0.686  0.089
N  0.793  0.411  0.814
N  0.793  0.882  0.979
N  0.814  0.521  0.403
N  0.814  0.793  0.411
N  0.882  0.403  0.089
N  0.882  0.979  0.793
N  0.903  0.021  0.314
N  0.903  0.382  0.589
N  0.911  0.118  0.597
N  0.911  0.293  0.314
N  0.979  0.686  0.097
N  0.979  0.793  0.882

***

Entry 5:
Entry from the Alexandria database: a relaxed Sc2MnN crystal (GGA-PBE).

Properties
As for the uncorrected energy: -0.5971 Ry/atom. The calculation puts the uncorrected formation energy at -2.336 eV per formula unit. Its total magnetic moment is 3.1 μB/f.u.

a b c (Å): 8.114 8.114 8.114
angles (deg): 22.22 22.22 22.22
Positions (direct):
Sc  0.115  0.115  0.115
Sc  0.885  0.885  0.885
Mn  0.000  0.000  0.000
N  0.500  0.500  0.500

***

Entry 6:
Entry from the Alexandria database: a relaxed ScMn3N crystal (GGA-PBE).

Properties
As for the uncorrected energy: -0.6400 Ry/atom. The calculation puts the uncorrected formation energy at -1.371 eV per formula unit. Its total magnetic moment is 3.2 μB/f.u. The calculation puts the polymorph energy (0 for the lowest one) at 0.000 eV per atom.

a b c (Å): 3.871 3.871 3.871
angles (deg): 90.00 90.00 90.00
Positions (direct):
Sc  0.000  0.000  0.000
Mn  0.000  0.500  0.500
Mn  0.500  0.000  0.500
Mn  0.500  0.500  0.000
N  0.500  0.500  0.500

***

Entry 7:
Entry from the Alexandria database: a relaxed ScMnSe2N crystal (GGA-PBE).

Properties
As for the uncorrected energy: -0.4442 Ry/atom. The calculation puts the uncorrected formation energy at 0.580 eV per formula unit. Its total magnetic moment is 3.0 μB/f.u. The calculation puts the polymorph energy (0 for the lowest one) at 0.540 eV per atom.

a b c (Å): 5.209 5.209 4.084
angles (deg): 90.00 90.00 90.00
Positions (direct):
Sc  0.000  0.000  0.000
Mn  0.500  0.500  0.500
Se  0.000  0.500  0.000
Se  0.500  0.000  0.000
N  0.000  0.000  0.500

***

Entry 8:
Entry from the Alexandria database: a relaxed ScMnSe2N crystal (GGA-PBE).

Properties
As for the uncorrected energy: -0.4839 Ry/atom. The calculation puts the uncorrected formation energy at -2.120 eV per formula unit. Its total magnetic moment is 1.5 μB/f.u. The calculation puts the polymorph energy (0 for the lowest one) at 0.000 eV per atom.

a b c (Å): 4.950 4.950 3.520
angles (deg): 90.00 90.00 90.00
Positions (direct):
Sc  0.000  0.000  0.000
Mn  0.500  0.500  0.500
Se  0.000  0.500  0.500
Se  0.500  0.000  0.500
N  0.500  0.500  0.000